Entry 1:
The following is a GGA-PBEsol calculation of a geometry-optimized MnZnAs2 structure, from Alexandria.

Properties
- ΔH_f (0 K) (kJ/mol of atoms) = 9
- total magnetic moment (μB per formula unit) = 2.47
- raw total energy (eV/atom) = -5.299

Unit cell a=3.2929 b=3.2929 c=5.6302 alpha=90.00 beta=90.00 gamma=90.00
Last column: nearest neighbours and their distance in Å.
Fractional coordinates of all 4 atoms:
Mn1 0.5000 0.5000 0.0000  8 As 2.66, 2 Zn 2.82
As1 0.0000 0.0000 0.2277  1 As 2.56, 4 Mn 2.66, 4 Zn 2.79
As2 0.0000 0.0000 0.7723  1 As 2.56, 4 Mn 2.66, 4 Zn 2.79
Zn1 0.5000 0.5000 0.5000  8 As 2.79, 2 Mn 2.82


Entry 2:
The following is a GGA-PBEsol calculation of a geometry-optimized LaZrAl structure, from Alexandria.

Properties
- ΔH_f (0 K) (kJ/mol of atoms) = 48
- total magnetic moment (μB per formula unit) = 0.01
- raw total energy (eV/atom) = -5.676

Unit cell a=4.7943 b=4.7943 c=4.7943 alpha=60.00 beta=60.00 gamma=60.00
Last column: nearest neighbours and their distance in Å.
Fractional coordinates of all 3 atoms:
Zr1 0.2500 0.2500 0.2500  4 Al 2.94, 4 La 2.94
Al1 0.0000 0.0000 0.0000  4 Zr 2.94
La1 0.5000 0.5000 0.5000  4 Zr 2.94


Entry 3:
The following is a GGA-PBEsol calculation of a geometry-optimized MoWAu2 structure, from Alexandria.

Properties
- ΔH_f (0 K) (kJ/mol of atoms) = 27
- total magnetic moment (μB per formula unit) = 0.00
- raw total energy (eV/atom) = -8.078

Unit cell a=2.6974 b=4.8836 c=5.0809 alpha=97.01 beta=90.00 gamma=106.03
Last column: nearest neighbours and their distance in Å.
Fractional coordinates of all 4 atoms:
W1 0.2524 0.5048 0.7450  2 W 2.70, 3 Mo 2.74-2.88, 7 Au 2.84-2.89
Au1 0.7523 0.5045 0.2484  5 Au 2.70-2.89, 3 Mo 2.84-2.87, 4 W 2.86-2.89
Mo1 0.4978 0.9956 0.5062  2 Mo 2.70, 3 W 2.74-2.88, 7 Au 2.84-2.90
Au2 0.9976 0.9952 0.0005  5 Au 2.70-2.89, 3 W 2.84-2.86, 4 Mo 2.85-2.90


Entry 4:
The following is a GGA-PBEsol calculation of a geometry-optimized CsNb3Sn structure, from Alexandria.

Properties
- ΔH_f (0 K) (kJ/mol of atoms) = 187
- total magnetic moment (μB per formula unit) = 0.00
- raw total energy (eV/atom) = -5.594

Unit cell a=5.2208 b=5.2208 c=5.2208 alpha=90.00 beta=90.00 gamma=90.00
Last column: nearest neighbours and their distance in Å.
Fractional coordinates of all 5 atoms:
Cs1 0.5000 0.5000 0.5000  12 Nb 3.69
Nb1 0.5000 0.0000 0.0000  2 Sn 2.61
Nb2 0.0000 0.5000 0.0000  2 Sn 2.61
Nb3 0.0000 0.0000 0.5000  2 Sn 2.61
Sn1 0.0000 0.0000 0.0000  6 Nb 2.61